(1)
# BaSbSe (PBE, relaxed)
data_BaSbSe
_symmetry_space_group_name_H-M 'A m m 2'
_symmetry_Int_Tables_number 38
_symmetry_space_group_name_Hall 'A 2 -2'
_cell_length_a 12.397
_cell_length_b 5.979
_cell_length_c 5.917
_cell_angle_alpha 90.00
_cell_angle_beta 90.00
_cell_angle_gamma 90.00
loop_
_atom_site_label
_atom_site_fract_x
_atom_site_fract_y
_atom_site_fract_z
Ba1 0.189 0.000 0.000
Sb1 0.000 0.000 0.502
Sb2 0.500 0.000 0.305
Se1 0.308 0.000 0.499
# electronic total energy	-48.48	eV/cell
# formation energy from raw total energies	-2.59	eV per formula unit
# crystal system	orthorhombic

(2)
# MnAg2Os (PBE, relaxed)
data_MnAg2Os
_symmetry_space_group_name_H-M 'P m m m'
_symmetry_Int_Tables_number 47
_symmetry_space_group_name_Hall '-P 2 2'
_cell_length_a 2.690
_cell_length_b 4.342
_cell_length_c 5.467
_cell_angle_alpha 90.00
_cell_angle_beta 90.00
_cell_angle_gamma 90.00
loop_
_atom_site_label
_atom_site_fract_x
_atom_site_fract_y
_atom_site_fract_z
Mn1 0.000 0.000 0.000
Ag1 0.500 0.500 0.251
Os1 0.000 0.000 0.500
# formation enthalpy at 0 K	2.480	eV/f.u.
# electronic total energy	-23.62	eV/cell
# distance to the lowest polymorph of the same formula	0.2910	eV per atom
# crystal system	orthorhombic

(3)
# La3Er6Tm2Th (PBE, relaxed)
data_La3Er6Tm2Th
_symmetry_space_group_name_H-M 'C 1 2/m 1'
_symmetry_Int_Tables_number 12
_symmetry_space_group_name_Hall '-C 2y'
_cell_length_a 6.179
_cell_length_b 10.704
_cell_length_c 11.800
_cell_angle_alpha 90.00
_cell_angle_beta 100.09
_cell_angle_gamma 90.00
loop_
_atom_site_label
_atom_site_fract_x
_atom_site_fract_y
_atom_site_fract_z
La1 0.000 0.000 0.000
La2 0.000 0.333 0.000
Er1 0.247 0.335 0.744
Er2 0.249 0.500 0.256
Tm1 0.000 0.167 0.500
Th1 0.000 0.500 0.500
# formation enthalpy at 0 K	0.274	eV/f.u.
# electronic total energy	-116.50	eV/cell
# crystal system	monoclinic

> Look up the electronic total energy of the third one.

-116.50 eV/cell

> Which of these has the lowest electronic total energy?

La3Er6Tm2Th